Compound: NaLiSb2
Source: the Alexandria database
Functional: PBE
Structure: relaxed

As for the crystal system: cubic. The energy above the most stable polymorph in this dataset is 0.087 eV/atom. The calculation puts the formation energy (no corrections) at -0.2484 eV per atom. The value obtained for the total moment is 0.00 μB per cell.

The space group is Fm-3m (No. 225) and the conventional cell measures 7.2694, 7.2694 and 7.2694 Å, with angles of 90.00, 90.00 and 90.00 degrees. The inequivalent atoms are Na at (0.0000, 0.0000, 0.0000), Li at (0.0000, 0.0000, 0.5000) and Sb at (0.2500, 0.2500, 0.2500).

Compound: NaLiSb2
Source: the Alexandria database
Functional: PBE
Structure: relaxed

As for the crystal system: tetragonal. The energy above the most stable polymorph in this dataset is 0.059 eV/atom. The calculation puts the formation energy (no corrections) at -0.2764 eV per atom. The value obtained for the total moment is 0.00 μB per cell.

The space group is I-42d (No. 122) and the conventional cell measures 4.7598, 4.7598 and 19.7364 Å, with angles of 90.00, 90.00 and 90.00 degrees. The inequivalent atoms are Na at (0.0000, 0.0000, 0.0000), Li at (0.0000, 0.0000, 0.5000) and Sb at (0.1905, 0.2500, 0.6250).

Compound: NaLiSb2
Source: the Alexandria database
Functional: PBE
Structure: relaxed

As for the crystal system: tetragonal. The energy above the most stable polymorph in this dataset is 0.000 eV/atom. The calculation puts the formation energy (no corrections) at -0.3356 eV per atom. The value obtained for the total moment is 0.00 μB per cell.

The space group is P4/mmm (No. 123) and the conventional cell measures 4.5757, 4.5757 and 4.6363 Å, with angles of 90.00, 90.00 and 90.00 degrees. The inequivalent atoms are Na at (0.0000, 0.0000, 0.0000), Li at (0.5000, 0.5000, 0.0000) and Sb at (0.0000, 0.5000, 0.5000).

Compound: NaLi3Sb2
Source: the Alexandria database
Functional: PBE
Structure: relaxed

As for the crystal system: hexagonal. The calculation puts the formation energy (no corrections) at -0.4827 eV per atom. The value obtained for the total moment is 0.00 μB per cell.

The space group is P6_3/mmc (No. 194) and the conventional cell measures 4.8578, 4.8578 and 12.8816 Å, with angles of 90.00, 90.00 and 120.00 degrees. The inequivalent atoms are Na at (0.0000, 0.0000, 0.2500), Li at (0.0000, 0.0000, 0.0000), Li at (0.3333, 0.6667, 0.1005) and Sb at (0.3333, 0.6667, 0.6294).

Compound: Na2LiSb2
Source: the Alexandria database
Functional: PBE
Structure: relaxed

As for the crystal system: tetragonal. The energy above the most stable polymorph in this dataset is 0.185 eV/atom. The calculation puts the formation energy (no corrections) at -0.2140 eV per atom. The value obtained for the total moment is 0.00 μB per cell.

The space group is P4/mbm (No. 127) and the conventional cell measures 8.6570, 8.6570 and 3.6524 Å, with angles of 90.00, 90.00 and 90.00 degrees. The inequivalent atoms are Na at (0.1606, 0.3394, 0.0000), Li at (0.0000, 0.0000, 0.5000) and Sb at (0.1364, 0.6364, 0.5000).

Compound: NaLiSb2
Source: the Alexandria database
Functional: PBE
Structure: relaxed

As for the crystal system: orthorhombic. The energy above the most stable polymorph in this dataset is 0.025 eV/atom. The calculation puts the formation energy (no corrections) at -0.3111 eV per atom. The value obtained for the total moment is 0.00 μB per cell.

The space group is Cmcm (No. 63) and the conventional cell measures 4.9127, 12.5363 and 6.8206 Å, with angles of 90.00, 90.00 and 90.00 degrees. The inequivalent atoms are Na at (0.0000, 0.0651, 0.2500), Li at (0.0000, 0.1975, 0.7500) and Sb at (0.0000, 0.3827, 0.0302).

Compound: Na2LiSb2
Source: the Alexandria database
Functional: PBE
Structure: relaxed

As for the crystal system: tetragonal. The energy above the most stable polymorph in this dataset is 0.376 eV/atom. The calculation puts the formation energy (no corrections) at -0.0227 eV per atom. The value obtained for the total moment is 0.00 μB per cell.

The space group is I4/mmm (No. 139) and the conventional cell measures 4.3640, 4.3640 and 16.7766 Å, with angles of 90.00, 90.00 and 90.00 degrees. The inequivalent atoms are Na at (0.0000, 0.0000, 0.1041), Li at (0.0000, 0.0000, 0.5000) and Sb at (0.0000, 0.5000, 0.2500).

Compound: Na2Li2Sb
Source: the Alexandria database
Functional: PBE
Structure: relaxed

As for the crystal system: tetragonal. The energy above the most stable polymorph in this dataset is 0.000 eV/atom. The calculation puts the formation energy (no corrections) at -0.2762 eV per atom. The value obtained for the total moment is 0.00 μB per cell.

The space group is P4/mbm (No. 127) and the conventional cell measures 7.0466, 7.0466 and 5.1455 Å, with angles of 90.00, 90.00 and 90.00 degrees. The inequivalent atoms are Na at (0.1889, 0.3111, 0.0000), Li at (0.1483, 0.6483, 0.5000) and Sb at (0.0000, 0.0000, 0.5000).